Compound: EuNbFeSnO6
Source: Alexandria
Functional: GGA+U
Structure: relaxed Values from VASP.

Values from the calculation:
- Energy: -7.82 eV/atom

Quantum ESPRESSO input file:
```
&SYSTEM
  ibrav = 0, nat = 10, ntyp = 5
/
ATOMIC_SPECIES
Eu 151.96 Eu.upf
Nb 92.91 Nb.upf
Fe 55.84 Fe.upf
Sn 118.71 Sn.upf
O 16.00 O.upf
CELL_PARAMETERS angstrom
0.000 3.955 3.955
3.955 0.000 3.955
3.955 3.955 0.000
ATOMIC_POSITIONS angstrom
Eu 0.000 0.000 0.000
Nb 1.977 1.977 1.977
Fe 5.932 5.932 5.932
Sn 3.955 3.955 3.955
O 5.932 5.932 3.977
O 5.932 3.977 5.932
O 7.888 5.932 5.932
O 3.977 5.932 5.932
O 5.932 7.888 5.932
O 5.932 5.932 7.888
```